1.
An optimized crystal structure of La3SbH, computed with GGA-PBE.

total magnetization = 0.00 μB/cell
energy relative to the lowest polymorph listed for this composition = 1.170 eV/atom

abc: 6.069 6.069 6.069
angles: 90.00 90.00 90.00
Positions (direct):
La  0.000  0.000  0.500
La  0.000  0.500  0.000
La  0.500  0.000  0.000
Sb  0.000  0.000  0.000
H  0.500  0.500  0.500



2.
An optimized crystal structure of Si2TeAu, computed with GGA-PBE.

total magnetization = 0.00 μB/cell
raw formation energy = 0.518 eV per atom

abc: 4.796 4.796 3.667
angles: 90.00 90.00 106.33
Positions (direct):
Si  0.000  0.500  0.000
Si  0.500  0.000  0.000
Te  0.000  0.000  0.500
Au  0.500  0.500  0.500



Copy entry 1 word for word.
An optimized crystal structure of La3SbH, computed with GGA-PBE.

total magnetization = 0.00 μB/cell
energy relative to the lowest polymorph listed for this composition = 1.170 eV/atom

abc: 6.069 6.069 6.069
angles: 90.00 90.00 90.00
Positions (direct):
La  0.000  0.000  0.500
La  0.000  0.500  0.000
La  0.500  0.000  0.000
Sb  0.000  0.000  0.000
H  0.500  0.500  0.500